1.
This record from Alexandria describes an optimized crystal structure of SmTm5Pd4. The functional is GGA-PBE.

Summary:
The space group is P4/mmm (123). The calculation puts the density of states at the Fermi level at 8.98 states/eV/cell. As for the energy of formation from the pure elements: -71 kJ per mole of atoms. The total energy comes out at -0.203 Ha/atom.

Cell lengths 3.480, 3.480, 19.017 Å; angles 90.00, 90.00, 90.00 degrees
Atoms (fractional coordinates):
Tm 0.500 0.500 0.500
Sm 0.000 0.000 0.000
Tm 0.500 0.500 0.139
Tm 0.500 0.500 0.318
Pd 0.000 0.000 0.227
Pd 0.000 0.000 0.592
Pd 0.000 0.000 0.408
Tm 0.500 0.500 0.861
Tm 0.500 0.500 0.682
Pd 0.000 0.000 0.773

=====

2.
This record from Alexandria describes an optimized crystal structure of CaCuP2. The functional is GGA-PBE.

Summary:
The space group is Cmmm (65). The calculation puts the density of states at the Fermi level at 0.91 states/eV/cell. As for the energy of formation from the pure elements: -8 kJ per mole of atoms. The total energy comes out at -0.158 Ha/atom.

Cell lengths 4.819, 4.819, 3.046 Å; angles 90.02, 90.02, 99.64 degrees
Atoms (fractional coordinates):
Ca 0.500 0.000 0.500
Cu 0.000 0.500 0.500
P 0.500 0.500 0.000
P 0.000 0.000 0.000

=====

3.
This record from Alexandria describes an optimized crystal structure of La2Be2In. The functional is GGA-PBE.

Summary:
Its offset from the most stable computed form is 0.000 eV per atom. The space group is P4/mbm (127). The calculation puts the density of states at the Fermi level at 10.89 states/eV/cell. As for the energy of formation from the pure elements: -7 kJ per mole of atoms. The total energy comes out at -0.150 Ha/atom.

Cell lengths 6.992, 6.992, 4.678 Å; angles 90.00, 90.00, 90.00 degrees
Atoms (fractional coordinates):
La 0.325 0.175 0.500
La 0.825 0.325 0.500
In 0.000 0.000 0.000
La 0.675 0.825 0.500
La 0.175 0.675 0.500
Be 0.386 0.886 0.000
In 0.500 0.500 0.000
Be 0.614 0.114 0.000
Be 0.114 0.386 0.000
Be 0.886 0.614 0.000